Entry from Alexandria via LeMat-Bulk: a relaxed structure of NaAcMoO4 (GGA+U).

Cell lengths 6.618, 7.014, 7.770 Å; angles 123.64, 90.00, 118.15 degrees
Site moments in Bohr magnetons follow the coordinates.
Element x y z (fractional)
Na 0.901 0.802 0.151  0.00
Na 0.099 0.198 0.849  0.00
Ac 0.500 0.000 0.500  0.01
Ac 0.500 0.000 0.000  0.01
Mo 0.500 0.500 0.500  1.87
Mo 0.000 0.500 0.500  1.87
O 0.752 0.504 0.678  0.02
O 0.308 0.072 0.286  0.01
O 0.764 0.072 0.286  0.01
O 0.752 0.504 0.326  0.02
O 0.248 0.496 0.674  0.02
O 0.692 0.928 0.714  0.01
O 0.236 0.928 0.714  0.01
O 0.248 0.496 0.322  0.02

## Properties
**Uncorrected energy**: -95.76 eV/cell
**Space group**: Imma (74)